Computed, not measured: an optimized crystal structure of Li3MnSb4O12 at the PBE+U level of DFT.

a b c (Å): 5.3073 5.5817 7.7149
angles (deg): 86.04 89.97 89.96
With the nearest neighbours (Å) after each atom.
Element x y z (fractional)
Li 0.5013 0.0541 0.7809  3 O 2.03-2.06
Li 0.9982 0.5677 0.7831  3 O 2.05-2.08
Li 0.5013 0.0576 0.2788  3 O 2.06-2.10
Mn 0.9995 0.5595 0.2756  5 O 2.09-2.33
Sb 0.0004 0.9992 0.9903  6 O 2.00-2.09
Sb 0.4998 0.4861 0.5028  6 O 2.00-2.12
Sb 0.0024 0.9901 0.5008  6 O 2.00-2.12
Sb 0.4977 0.4902 0.9899  6 O 2.03-2.06
O 0.7011 0.7821 0.4182  2 Sb 2.04-2.10, 1 Li 2.10
O 0.8683 0.9650 0.7442  2 Sb 2.00-2.05, 1 Li 2.03
O 0.6771 0.1672 0.0484  2 Sb 2.02-2.06, 1 Li 2.06
O 0.8017 0.2854 0.4206  2 Sb 2.02-2.08, 1 Mn 2.11
O 0.1930 0.2976 0.9163  2 Sb 2.00-2.04, 1 Li 2.05
O 0.6335 0.4646 0.7450  2 Sb 2.00-2.04, 1 Li 2.05
O 0.3793 0.4615 0.2428  2 Sb 2.05-2.12, 1 Mn 2.11
O 0.8207 0.6677 0.0412  2 Sb 2.03-2.09, 1 Mn 2.09
O 0.1704 0.6548 0.5442  2 Sb 2.02-2.08, 1 Li 2.08
O 0.3012 0.7914 0.9164  2 Sb 2.03-2.07, 1 Li 2.04
O 0.1240 0.9607 0.2420  2 Sb 2.05-2.12, 1 Li 2.10
O 0.3292 0.1567 0.5479  2 Sb 2.01-2.06, 1 Li 2.06

## Properties
Calculated total energy = -0.222 hartree per atom
N(E_F) = 1.0 states/eV per cell